A relaxed structure of Ce6CoHg2H. Source: Alexandria via LeMat-Bulk, functional PBE.

Cell and atoms, written as CIF:
```
data_Ce6CoHg2H
_symmetry_space_group_name_H-M 'P 1'
_symmetry_Int_Tables_number 1
_cell_length_a 6.6655
_cell_length_b 6.6714
_cell_length_c 6.6762
_cell_angle_alpha 65.37
_cell_angle_beta 65.53
_cell_angle_gamma 65.56
loop_
_symmetry_equiv_pos_as_xyz
'x,y,z'
loop_
_atom_site_label
_atom_site_type_symbol
_atom_site_fract_x
_atom_site_fract_y
_atom_site_fract_z
Ce1 Ce 0.1749 0.2280 0.2901
Ce2 Ce 0.2708 0.2096 0.8266
Ce3 Ce 0.2904 0.6765 0.7285
Ce4 Ce 0.7096 0.3235 0.2715
Ce5 Ce 0.7292 0.7904 0.1734
Ce6 Ce 0.8251 0.7720 0.7099
Co1 Co 0.5000 0.0000 0.5000
Hg1 Hg 0.2281 0.7271 0.2290
Hg2 Hg 0.7719 0.2729 0.7710
H1 H 0.0000 0.5000 0.0000
```

Values from the calculation:
space group	P-1, No. 2
uncorrected energy	-48.4	eV per cell
V	234.97	Å³/cell
total moment	0.7	Bohr magnetons per cell
D(E_F)	2.253	states/eV per atom